[1]
Computed, not measured: a crystal of Ca10V3P3O24F2 relaxed with PBEsol at the meta-GGA SCAN level of DFT.

Results
* total magnetic moment: 0.000 μB/f.u.
* calculated density: 3.28 g/cm3
* raw total energy: -11.279 eV/atom

```
42
Lattice="-5.044 2.017 4.208 1.391 -7.750 5.382 4.783 8.035 1.882" Properties=species:S:1:pos:R:3 pbc="T T T"
O -2.348 3.578 4.494
O -1.688 0.797 5.236
O 0.509 2.539 8.415
O 0.138 0.067 3.712
O -0.183 -4.386 5.462
O -2.009 -3.656 6.985
O 2.784 -1.217 7.499
O 3.074 3.827 1.850
O 2.227 3.909 6.405
O 0.332 2.340 4.886
O 0.721 2.351 1.934
O 3.577 1.313 5.855
O -1.177 -2.095 5.203
O 0.631 -2.507 7.567
O 3.428 -1.220 4.694
O 2.620 -3.908 5.013
O 0.628 7.066 6.389
O 1.518 -2.338 2.940
O 4.805 3.315 4.171
O 0.546 0.161 6.188
O 0.958 -0.487 9.023
O 0.833 5.095 4.167
O 3.078 1.177 3.125
O 3.697 5.839 3.829
V 5.151 4.961 3.796
V 3.874 0.409 4.447
V 1.932 2.948 0.903
F 0.000 0.000 0.000
F -2.522 1.008 2.104
Ca -0.108 4.277 6.186
Ca 1.508 0.033 1.792
Ca 2.370 3.286 4.119
Ca -1.258 -0.977 7.369
Ca -2.122 -0.805 3.452
Ca 1.258 -1.984 5.270
Ca -0.026 -4.767 7.863
Ca 1.075 -5.828 4.081
Ca 4.982 -1.672 6.773
Ca 2.148 1.130 7.643
P 1.670 -1.739 8.445
P -1.512 -3.588 5.516
P -0.157 0.886 4.997
```


[2]
Computed, not measured: a crystal of CaPtO2F relaxed with PBEsol at the meta-GGA SCAN level of DFT.

Results
* total magnetic moment: 3.007 μB/f.u.
* calculated density: 6.22 g/cm3
* raw total energy: -19.670 eV/atom

```
5
Lattice="4.079 0.000 0.000 0.000 4.326 0.000 0.000 0.000 4.326" Properties=species:S:1:pos:R:3 pbc="T T T"
O 0.000 2.163 0.000
O 0.000 0.000 2.163
F 2.039 0.000 0.000
Ca 0.000 0.000 0.000
Pt 2.039 2.163 2.163
```


[3]
Computed, not measured: a crystal of RbCaOF2 relaxed with PBEsol at the meta-GGA SCAN level of DFT.

Results
* total magnetic moment: 0.163 μB/f.u.
* calculated density: 3.01 g/cm3
* raw total energy: -10.417 eV/atom

```
5
Lattice="4.383 0.000 0.000 0.000 4.757 0.000 0.000 0.000 4.757" Properties=species:S:1:pos:R:3 pbc="T T T"
Rb 0.000 0.000 0.000
O 2.192 0.000 0.000
Ca 2.192 2.378 2.378
F 0.000 2.378 0.000
F 0.000 0.000 2.378
```


[4]
Computed, not measured: a crystal of CaSiO2F relaxed with PBEsol at the meta-GGA SCAN level of DFT.

Results
* total magnetic moment: 1.000 μB/f.u.
* calculated density: 2.61 g/cm3
* raw total energy: -8.144 eV/atom

```
5
Lattice="-3.781 -1.552 -0.675 0.956 -0.535 -4.131 1.460 -3.927 0.846" Properties=species:S:1:pos:R:3 pbc="T T T"
Si -0.682 -3.007 -1.980
O 0.478 -0.267 -2.066
O 0.730 -1.963 0.423
Ca 0.000 0.000 0.000
F -1.891 -0.776 -0.337
```


[5]
Computed, not measured: a crystal of CaSiOF2 relaxed with PBEsol at the meta-GGA SCAN level of DFT.

Results
* total magnetic moment: 0.000 μB/f.u.
* calculated density: 2.60 g/cm3
* raw total energy: -8.348 eV/atom

```
5
Lattice="4.134 0.000 0.000 0.000 4.134 0.000 0.000 0.000 4.558" Properties=species:S:1:pos:R:3 pbc="T T T"
Si 2.067 2.067 2.279
F 0.000 2.067 0.000
F 2.067 0.000 0.000
O 0.000 0.000 2.279
Ca 0.000 0.000 0.000
```


[6]
Computed, not measured: a crystal of CaSnOF2 relaxed with PBEsol at the meta-GGA SCAN level of DFT.

Results
* total magnetic moment: 0.015 μB/f.u.
* calculated density: 4.00 g/cm3
* raw total energy: -13.749 eV/atom

```
5
Lattice="-1.248 0.248 4.206 -4.039 -1.610 -1.103 1.479 -4.179 0.685" Properties=species:S:1:pos:R:3 pbc="T T T"
O -0.624 0.124 2.103
Sn 0.000 0.000 0.000
F 0.739 -2.090 0.343
F -2.019 -0.805 -0.552
Ca -1.904 -2.770 1.894
```


[7]
Computed, not measured: a crystal of SrCaO2F relaxed with PBEsol at the meta-GGA SCAN level of DFT.

Results
* total magnetic moment: 1.000 μB/f.u.
* calculated density: 3.27 g/cm3
* raw total energy: -11.825 eV/atom

```
5
Lattice="4.456 0.000 0.000 0.000 4.512 0.000 0.000 0.000 4.512" Properties=species:S:1:pos:R:3 pbc="T T T"
F 2.228 0.000 0.000
O 0.000 2.256 0.000
O 0.000 0.000 2.256
Ca 2.228 2.256 2.256
Sr 0.000 0.000 0.000
```


[8]
Computed, not measured: a crystal of Ca3Ta4O12F2 relaxed with PBEsol at the meta-GGA SCAN level of DFT.

Results
* total magnetic moment: 0.000 μB/f.u.
* energy above the lowest structure with this stoichiometry: 0.000 eV per atom
* calculated density: 6.29 g/cm3
* raw total energy: -21.349 eV/atom

```
84
Lattice="10.429 0.000 0.000 0.000 10.429 0.000 0.000 0.000 10.429" Properties=species:S:1:pos:R:3 pbc="T T T"
O 2.688 7.722 5.861
O 2.508 9.783 7.741
O 9.783 7.741 2.508
O 5.231 0.043 3.159
O 5.171 7.270 0.016
O 4.663 2.650 2.624
O 7.779 7.838 0.552
O 5.314 10.349 7.176
O 2.056 5.198 5.258
O 0.100 5.295 3.253
O 0.081 1.961 10.329
O 2.591 5.766 7.865
O 7.805 9.878 2.564
O 7.176 5.314 10.349
O 8.373 10.413 10.386
O 7.838 0.552 7.779
O 10.329 0.081 1.961
O 5.861 2.688 7.722
O 7.865 2.591 5.766
O 8.468 5.115 5.134
O 2.564 7.805 9.878
O 2.624 4.663 2.650
O 4.568 7.902 7.922
O 5.198 5.258 2.056
O 5.134 8.468 5.115
O 2.650 2.624 4.663
O 10.413 10.386 8.373
O 3.159 5.231 0.043
O 10.386 8.373 10.413
O 3.253 0.100 5.295
O 7.902 7.922 4.568
O 0.646 2.527 2.707
O 7.270 0.016 5.171
O 9.878 2.564 7.805
O 2.707 0.646 2.527
O 5.766 7.865 2.591
O 7.922 4.568 7.902
O 7.741 2.508 9.783
O 5.258 2.056 5.198
O 0.043 3.159 5.231
O 0.552 7.779 7.838
O 7.722 5.861 2.688
O 5.295 3.253 0.100
O 1.961 10.329 0.081
O 2.527 2.707 0.646
O 0.016 5.171 7.270
O 10.349 7.176 5.314
O 5.115 5.134 8.468
Ca 6.643 4.036 3.911
Ca 3.786 9.250 1.304
Ca 6.518 1.429 1.179
Ca 1.179 6.518 1.429
Ca 4.036 3.911 6.643
Ca 3.911 6.643 4.036
Ca 6.393 9.125 9.001
Ca 9.125 9.001 6.393
Ca 9.001 6.393 9.125
Ca 1.304 3.786 9.250
Ca 1.429 1.179 6.518
Ca 9.250 1.304 3.786
Ta 1.304 6.504 6.532
Ta 6.518 3.911 9.125
Ta 6.532 1.304 6.504
Ta 9.111 9.125 1.289
Ta 1.304 1.304 1.304
Ta 9.125 6.518 3.911
Ta 3.911 9.125 6.518
Ta 3.897 6.518 9.140
Ta 6.504 6.532 1.304
Ta 1.289 9.111 9.125
Ta 3.925 1.318 3.911
Ta 6.518 9.140 3.897
Ta 1.318 3.911 3.925
Ta 9.125 1.289 9.111
Ta 9.140 3.897 6.518
Ta 3.911 3.925 1.318
F 10.304 0.125 5.340
F 5.089 5.089 5.089
F 7.947 7.947 7.947
F 7.696 2.482 2.733
F 2.733 7.696 2.482
F 0.125 5.340 10.304
F 2.482 2.733 7.696
F 5.340 10.304 0.125
```